# 1
Computed, not measured: a relaxed LiYErRe crystal at the PBE level of DFT.

Unit cell a=4.915 b=4.915 c=4.915 alpha=60.00 beta=60.00 gamma=60.00
Atoms (fractional coordinates):
Y: 0.000 0.000 0.000
Re: 0.250 0.250 0.250
Li: 0.750 0.750 0.750
Er: 0.500 0.500 0.500

DOS at the Fermi energy, states/eV/f.u.: 3.493
E_form, meV per atom: 69
Spin magnetization, μB/f.u.: 0.00

# 2
Computed, not measured: a relaxed AlZnFe2 crystal at the PBE level of DFT.

Unit cell a=3.727 b=2.612 c=5.806 alpha=63.51 beta=90.00 gamma=90.00
Site moments in Bohr magnetons follow the coordinates.
Atoms (fractional coordinates):
Zn: 0.500 0.250 0.250  -0.05
Fe: 0.000 0.004 0.995  2.13
Fe: 0.000 0.496 0.505  2.13
Al: 0.500 0.750 0.750  -0.05

DOS at the Fermi energy, states/eV/f.u.: 2.627
E_form, meV per atom: -121
Spin magnetization, μB/f.u.: 4.10

Among the records above, which one has the lowest E_form? AlZnFe2

DOS at the Fermi energy of number 2 (AlZnFe2)? 2.627 states/eV/f.u.

Among the records above, which one has the lowest E_form? AlZnFe2

Which of these has the lowest spin magnetization? LiYErRe